The following is a PBE calculation of an optimized crystal structure of CdIrPb2, from Alexandria.

Output
final energy = -4.10 eV per atom
formation energy from the elements = 19.01 kJ per mole of atoms

```
4
Lattice="3.334 0.000 0.000 0.000 3.339 0.000 -0.009 0.000 8.877" Properties=species:S:1:pos:R:3 pbc="T T T"
Cd 0.000 0.000 0.000
Ir -0.005 0.000 4.438
Pb 1.662 1.669 2.667
Pb 1.663 1.669 6.210
```